Compound: Ge2SbO
Source: Alexandria
Functional: GGA-PBE
Structure: optimized geometry Values from VASP.

Properties
As for the space group: Fm-3m, No. 225. The value obtained for the raw total energy is -4.30 eV/atom. The value obtained for the density of states at the Fermi level is 2.58 states/eV/f.u.

```
&SYSTEM
  ibrav = 0, nat = 4, ntyp = 3
/
ATOMIC_SPECIES
Ge 72.64 Ge.upf
Sb 121.76 Sb.upf
O 16.00 O.upf
ATOMIC_POSITIONS angstrom
Ge 1.650 1.650 1.650
Ge 4.950 4.950 4.950
Sb 0.000 0.000 0.000
O 3.300 3.300 3.300
CELL_PARAMETERS angstrom
0.000 3.300 3.300
3.300 0.000 3.300
3.300 3.300 0.000
```


Compound: Ce3ScPa2As6
Source: Alexandria
Functional: GGA-PBE
Structure: optimized geometry Values from VASP.

Properties
As for the space group: C2/m, No. 12. The energy of formation from the pure elements is -1.28 eV per atom. The value obtained for the density of states at the Fermi level is 21.28 states/eV/f.u.

```
&SYSTEM
  ibrav = 0, nat = 12, ntyp = 4
/
ATOMIC_SPECIES
Ce 140.12 Ce.upf
Sc 44.96 Sc.upf
Pa 231.04 Pa.upf
As 74.92 As.upf
ATOMIC_POSITIONS angstrom
Ce 0.000 0.000 0.000
Ce 3.562 2.078 0.000
Ce 3.562 -2.078 0.000
Sc 2.372 0.000 3.385
Pa 2.372 4.122 3.385
Pa 2.372 -4.122 3.385
As 1.209 2.022 1.792
As 0.040 0.000 4.999
As 1.209 -2.022 1.792
As 3.536 2.022 4.978
As 4.705 0.000 1.771
As 3.536 -2.022 4.978
CELL_PARAMETERS angstrom
3.562 -6.171 0.000
3.562 6.171 0.000
-2.380 0.000 6.770
```


Compound: ZnO
Source: Alexandria
Functional: GGA-PBE
Structure: optimized geometry Values from VASP.

Properties
As for the space group: I-43m, No. 217. The value obtained for the raw total energy is -4.44 eV/atom.

```
&SYSTEM
  ibrav = 0, nat = 8, ntyp = 2
/
ATOMIC_SPECIES
Zn 65.41 Zn.upf
O 16.00 O.upf
ATOMIC_POSITIONS angstrom
Zn 2.109 2.109 -2.109
Zn 2.109 -2.109 2.109
Zn 1.035 1.035 1.035
Zn -2.109 2.109 2.109
O 1.018 1.018 -1.018
O 1.018 -1.018 1.018
O -1.018 1.018 1.018
O 2.127 2.127 2.127
CELL_PARAMETERS angstrom
-3.144 3.144 3.144
3.144 -3.144 3.144
3.144 3.144 -3.144
```


Compound: SrCa3F
Source: Alexandria
Functional: GGA-PBE
Structure: optimized geometry Values from VASP.

Properties
As for the space group: Pm-3m, No. 221. The value obtained for the raw total energy is -1.42 eV/atom. The value obtained for the density of states at the Fermi level is 8.56 states/eV/f.u.

```
&SYSTEM
  ibrav = 0, nat = 5, ntyp = 3
/
ATOMIC_SPECIES
Sr 87.62 Sr.upf
Ca 40.08 Ca.upf
F 19.00 F.upf
ATOMIC_POSITIONS angstrom
Sr 0.000 0.000 0.000
Ca 0.000 0.000 3.629
Ca 0.000 3.629 0.000
Ca 3.629 0.000 0.000
F 3.629 3.629 3.629
CELL_PARAMETERS angstrom
7.258 0.000 0.000
0.000 7.258 0.000
0.000 0.000 7.258
```


Number 1: volume 17.972 A^3/atom. Number 2: volume 24.803 A^3/atom. Number 3: volume 15.545 A^3/atom. Number 4: volume 76.470 A^3/atom.